(1)
A relaxed TaBe2Mo crystal, computed with PBE.

Properties
E ... -114.6 eV/cell
Crystal system ... cubic

Lattice parameters (Å, degrees): 6.0196 6.0196 6.0196 90.00 90.00 90.00
With the nearest neighbours (Å) after each atom.
Space group F-43m (No. 216)
Asymmetric unit:
1 Ta 0.0000 0.0000 0.0000  4 Be 2.61, 4 Mo 2.61
2 Be 0.0000 0.0000 0.5000  4 Mo 2.61, 4 Be 2.61
3 Be 0.2500 0.2500 0.7500  4 Ta 2.61, 4 Be 2.61
4 Mo 0.2500 0.2500 0.2500  4 Ta 2.61, 4 Be 2.61



(2)
A relaxed TbBeMo crystal, computed with PBE.

Properties
E above lowest polymorph ... 0.0 meV/atom
E ... -69.1 eV/cell
Crystal system ... cubic

Lattice parameters (Å, degrees): 6.0935 6.0935 6.0935 90.00 90.00 90.00
With the nearest neighbours (Å) after each atom.
Space group F-43m (No. 216)
Asymmetric unit:
1 Tb 0.0000 0.0000 0.0000  4 Be 2.64
2 Be 0.2500 0.2500 0.7500  4 Tb 2.64, 4 Mo 2.64
3 Mo 0.0000 0.0000 0.5000  4 Be 2.64



(3)
A relaxed Be2TcMo crystal, computed with PBE.

Properties
E ... -114.3 eV/cell
Crystal system ... cubic

Lattice parameters (Å, degrees): 5.8247 5.8247 5.8247 90.00 90.00 90.00
With the nearest neighbours (Å) after each atom.
Space group F-43m (No. 216)
Asymmetric unit:
1 Be 0.0000 0.0000 0.0000  4 Mo 2.52, 4 Be 2.52
2 Be 0.2500 0.2500 0.2500  4 Tc 2.52, 4 Be 2.52
3 Tc 0.0000 0.0000 0.5000  4 Be 2.52, 4 Mo 2.52
4 Mo 0.2500 0.2500 0.7500  4 Tc 2.52, 4 Be 2.52



(4)
A relaxed YBeTcMo crystal, computed with PBE.

Properties
E above lowest polymorph ... 438.9 meV/atom
E ... -115.2 eV/cell
Crystal system ... cubic

Lattice parameters (Å, degrees): 6.3710 6.3710 6.3710 90.00 90.00 90.00
With the nearest neighbours (Å) after each atom.
Space group F-43m (No. 216)
Asymmetric unit:
1 Y 0.0000 0.0000 0.0000  4 Mo 2.76, 4 Tc 2.76
2 Be 0.0000 0.0000 0.5000  4 Mo 2.76, 4 Tc 2.76
3 Tc 0.2500 0.2500 0.7500  4 Be 2.76, 4 Y 2.76
4 Mo 0.2500 0.2500 0.2500  4 Be 2.76, 4 Y 2.76



(5)
A relaxed YBeTcMo crystal, computed with PBE.

Properties
E above lowest polymorph ... 0.0 meV/atom
E ... -122.2 eV/cell
Crystal system ... cubic

Lattice parameters (Å, degrees): 6.3857 6.3857 6.3857 90.00 90.00 90.00
With the nearest neighbours (Å) after each atom.
Space group F-43m (No. 216)
Asymmetric unit:
1 Y 0.0000 0.0000 0.0000  4 Mo 2.77, 4 Be 2.77
2 Be 0.2500 0.2500 0.2500  4 Tc 2.77, 4 Y 2.77
3 Tc 0.0000 0.0000 0.5000  4 Mo 2.77, 4 Be 2.77
4 Mo 0.2500 0.2500 0.7500  4 Tc 2.77, 4 Y 2.77



(6)
A relaxed YBeTcMo crystal, computed with PBE.

Properties
E above lowest polymorph ... 6.3 meV/atom
E ... -122.1 eV/cell
Crystal system ... cubic

Lattice parameters (Å, degrees): 6.4215 6.4215 6.4215 90.00 90.00 90.00
With the nearest neighbours (Å) after each atom.
Space group F-43m (No. 216)
Asymmetric unit:
1 Y 0.0000 0.0000 0.0000  4 Tc 2.78, 4 Be 2.78
2 Be 0.2500 0.2500 0.2500  4 Mo 2.78, 4 Y 2.78
3 Tc 0.2500 0.2500 0.7500  4 Mo 2.78, 4 Y 2.78
4 Mo 0.0000 0.0000 0.5000  4 Tc 2.78, 4 Be 2.78



(7)
A relaxed BeTeMo crystal, computed with PBE.

Properties
E above lowest polymorph ... 0.0 meV/atom
E ... -61.2 eV/cell
Crystal system ... cubic

Lattice parameters (Å, degrees): 5.8599 5.8599 5.8599 90.00 90.00 90.00
With the nearest neighbours (Å) after each atom.
Space group F-43m (No. 216)
Asymmetric unit:
1 Be 0.0000 0.0000 0.0000  4 Mo 2.54, 4 Te 2.54
2 Te 0.2500 0.2500 0.2500  4 Be 2.54
3 Mo 0.2500 0.2500 0.7500  4 Be 2.54



(8)
A relaxed Be2TeMo crystal, computed with PBE.

Properties
E ... -72.7 eV/cell
Crystal system ... cubic

Lattice parameters (Å, degrees): 6.2119 6.2119 6.2119 90.00 90.00 90.00
With the nearest neighbours (Å) after each atom.
Space group F-43m (No. 216)
Asymmetric unit:
1 Be 0.0000 0.0000 0.0000  4 Mo 2.69, 4 Be 2.69
2 Be 0.2500 0.2500 0.2500  4 Te 2.69, 4 Be 2.69
3 Te 0.0000 0.0000 0.5000  4 Mo 2.69, 4 Be 2.69
4 Mo 0.2500 0.2500 0.7500  4 Te 2.69, 4 Be 2.69



(9)
A relaxed ZrBeTeMo crystal, computed with PBE.

Properties
E above lowest polymorph ... 0.0 meV/atom
E ... -101.7 eV/cell
Crystal system ... cubic

Lattice parameters (Å, degrees): 6.5307 6.5307 6.5307 90.00 90.00 90.00
With the nearest neighbours (Å) after each atom.
Space group F-43m (No. 216)
Asymmetric unit:
1 Zr 0.0000 0.0000 0.0000  4 Te 2.83, 4 Be 2.83
2 Be 0.2500 0.2500 0.2500  4 Zr 2.83, 4 Mo 2.83
3 Te 0.2500 0.2500 0.7500  4 Zr 2.83, 4 Mo 2.83
4 Mo 0.0000 0.0000 0.5000  4 Te 2.83, 4 Be 2.83



(10)
A relaxed ZrBeTeMo crystal, computed with PBE.

Properties
E above lowest polymorph ... 273.6 meV/atom
E ... -97.3 eV/cell
Crystal system ... cubic

Lattice parameters (Å, degrees): 6.5752 6.5752 6.5752 90.00 90.00 90.00
With the nearest neighbours (Å) after each atom.
Space group F-43m (No. 216)
Asymmetric unit:
1 Zr 0.0000 0.0000 0.0000  4 Mo 2.85, 4 Te 2.85
2 Be 0.0000 0.0000 0.5000  4 Mo 2.85, 4 Te 2.85
3 Te 0.2500 0.2500 0.7500  4 Zr 2.85, 4 Be 2.85
4 Mo 0.2500 0.2500 0.2500  4 Zr 2.85, 4 Be 2.85



(11)
A relaxed ZrBeTeMo crystal, computed with PBE.

Properties
E above lowest polymorph ... 100.2 meV/atom
E ... -100.1 eV/cell
Crystal system ... cubic

Lattice parameters (Å, degrees): 6.5155 6.5155 6.5155 90.00 90.00 90.00
With the nearest neighbours (Å) after each atom.
Space group F-43m (No. 216)
Asymmetric unit:
1 Zr 0.0000 0.0000 0.0000  4 Mo 2.82, 4 Be 2.82
2 Be 0.2500 0.2500 0.2500  4 Zr 2.82, 4 Te 2.82
3 Te 0.0000 0.0000 0.5000  4 Mo 2.82, 4 Be 2.82
4 Mo 0.2500 0.2500 0.7500  4 Zr 2.82, 4 Te 2.82



(12)
A relaxed ThBeMo crystal, computed with PBE.

Properties
E above lowest polymorph ... 0.0 meV/atom
E ... -82.0 eV/cell
Crystal system ... cubic

Lattice parameters (Å, degrees): 6.2036 6.2036 6.2036 90.00 90.00 90.00
With the nearest neighbours (Å) after each atom.
Space group F-43m (No. 216)
Asymmetric unit:
1 Th 0.0000 0.0000 0.0000  4 Be 2.69
2 Be 0.2500 0.2500 0.7500  4 Mo 2.69, 4 Th 2.69
3 Mo 0.0000 0.0000 0.5000  4 Be 2.69



(13)
A relaxed BeTl2Mo crystal, computed with PBE.

Properties
E ... -58.2 eV/cell
Crystal system ... cubic

Lattice parameters (Å, degrees): 6.7493 6.7493 6.7493 90.00 90.00 90.00
With the nearest neighbours (Å) after each atom.
Space group F-43m (No. 216)
Asymmetric unit:
1 Be 0.0000 0.0000 0.0000  4 Tl 2.92, 4 Mo 2.92
2 Tl 0.0000 0.0000 0.5000  4 Tl 2.92, 4 Mo 2.92
3 Tl 0.2500 0.2500 0.7500  4 Tl 2.92, 4 Be 2.92
4 Mo 0.2500 0.2500 0.2500  4 Tl 2.92, 4 Be 2.92



(14)
A relaxed Be2TlMo crystal, computed with PBE.

Properties
E ... -67.2 eV/cell
Crystal system ... cubic

Lattice parameters (Å, degrees): 6.2178 6.2178 6.2178 90.00 90.00 90.00
With the nearest neighbours (Å) after each atom.
Space group F-43m (No. 216)
Asymmetric unit:
1 Be 0.0000 0.0000 0.0000  4 Be 2.69, 4 Mo 2.69
2 Be 0.2500 0.2500 0.2500  4 Tl 2.69, 4 Be 2.69
3 Tl 0.0000 0.0000 0.5000  4 Mo 2.69, 4 Be 2.69
4 Mo 0.2500 0.2500 0.7500  4 Tl 2.69, 4 Be 2.69



(15)
A relaxed UBeMo crystal, computed with PBE.

Properties
E above lowest polymorph ... 0.0 meV/atom
E ... -96.1 eV/cell
Crystal system ... cubic

Lattice parameters (Å, degrees): 5.8977 5.8977 5.8977 90.00 90.00 90.00
With the nearest neighbours (Å) after each atom.
Space group F-43m (No. 216)
Asymmetric unit:
1 U 0.0000 0.0000 0.0000  4 Be 2.55
2 Be 0.2500 0.2500 0.7500  4 Mo 2.55, 4 U 2.55
3 Mo 0.0000 0.0000 0.5000  4 Be 2.55



(16)
A relaxed UBeMo crystal, computed with PBE.

Properties
E above lowest polymorph ... 651.5 meV/atom
E ... -88.3 eV/cell
Crystal system ... cubic

Lattice parameters (Å, degrees): 6.0700 6.0700 6.0700 90.00 90.00 90.00
With the nearest neighbours (Å) after each atom.
Space group F-43m (No. 216)
Asymmetric unit:
1 U 0.0000 0.0000 0.0000  4 Mo 2.63, 4 Be 2.63
2 Be 0.2500 0.2500 0.7500  4 U 2.63
3 Mo 0.2500 0.2500 0.2500  4 U 2.63



(17)
A relaxed BeMoW crystal, computed with PBE.

Properties
E above lowest polymorph ... 0.0 meV/atom
E ... -102.9 eV/cell
Crystal system ... cubic

Lattice parameters (Å, degrees): 5.5772 5.5772 5.5772 90.00 90.00 90.00
With the nearest neighbours (Å) after each atom.
Space group F-43m (No. 216)
Asymmetric unit:
1 Be 0.0000 0.0000 0.0000  4 Mo 2.41, 4 W 2.41
2 Mo 0.2500 0.2500 0.7500  4 Be 2.41
3 W 0.2500 0.2500 0.2500  4 Be 2.41



(18)
A relaxed Be2MoW crystal, computed with PBE.

Properties
E ... -120.2 eV/cell
Crystal system ... cubic

Lattice parameters (Å, degrees): 5.9324 5.9324 5.9324 90.00 90.00 90.00
With the nearest neighbours (Å) after each atom.
Space group F-43m (No. 216)
Asymmetric unit:
1 Be 0.0000 0.0000 0.0000  4 Mo 2.57, 4 Be 2.57
2 Be 0.2500 0.2500 0.2500  4 W 2.57, 4 Be 2.57
3 Mo 0.2500 0.2500 0.7500  4 W 2.57, 4 Be 2.57
4 W 0.0000 0.0000 0.5000  4 Mo 2.57, 4 Be 2.57



(19)
A relaxed BeMo3W crystal, computed with PBE.

Properties
E ... -45.3 eV/cell
Crystal system ... cubic

Lattice parameters (Å, degrees): 4.2265 4.2265 4.2265 90.00 90.00 90.00
With the nearest neighbours (Å) after each atom.
Space group Pm-3m (No. 221)
Asymmetric unit:
1 Be 0.0000 0.0000 0.0000  6 Mo 2.11
2 Mo 0.0000 0.0000 0.5000  2 Be 2.11
3 W 0.5000 0.5000 0.5000  12 Mo 2.99



(20)
A relaxed BeMoW2 crystal, computed with PBE.

Properties
E ... -157.5 eV/cell
Crystal system ... cubic

Lattice parameters (Å, degrees): 6.1639 6.1639 6.1639 90.00 90.00 90.00
With the nearest neighbours (Å) after each atom.
Space group F-43m (No. 216)
Asymmetric unit:
1 Be 0.0000 0.0000 0.0000  4 W 2.67, 4 Mo 2.67
2 Mo 0.2500 0.2500 0.2500  4 W 2.67, 4 Be 2.67
3 W 0.0000 0.0000 0.5000  4 W 2.67, 4 Mo 2.67
4 W 0.2500 0.2500 0.7500  4 Be 2.67, 4 W 2.67



(21)
A relaxed Y2BeMo crystal, computed with PBE.

Properties
E ... -100.7 eV/cell
Crystal system ... cubic

Lattice parameters (Å, degrees): 6.8306 6.8306 6.8306 90.00 90.00 90.00
With the nearest neighbours (Å) after each atom.
Space group F-43m (No. 216)
Asymmetric unit:
1 Y 0.0000 0.0000 0.0000  4 Y 2.96, 4 Mo 2.96
2 Y 0.2500 0.2500 0.2500  4 Be 2.96, 4 Y 2.96
3 Be 0.0000 0.0000 0.5000  4 Mo 2.96, 4 Y 2.96
4 Mo 0.2500 0.2500 0.7500  4 Be 2.96, 4 Y 2.96



(22)
A relaxed Be2ZnMo crystal, computed with PBE.

Properties
E ... -72.2 eV/cell
Crystal system ... cubic

Lattice parameters (Å, degrees): 5.7842 5.7842 5.7842 90.00 90.00 90.00
With the nearest neighbours (Å) after each atom.
Space group F-43m (No. 216)
Asymmetric unit:
1 Be 0.0000 0.0000 0.0000  4 Be 2.50, 4 Zn 2.50
2 Be 0.2500 0.2500 0.2500  4 Mo 2.50, 4 Be 2.50
3 Zn 0.2500 0.2500 0.7500  4 Mo 2.50, 4 Be 2.50
4 Mo 0.0000 0.0000 0.5000  4 Be 2.50, 4 Zn 2.50



(23)
A relaxed Be2ZnMo crystal, computed with PBE.

Properties
E ... -72.2 eV/cell
Crystal system ... cubic

Lattice parameters (Å, degrees): 5.7809 5.7809 5.7809 90.00 90.00 90.00
With the nearest neighbours (Å) after each atom.
Space group F-43m (No. 216)
Asymmetric unit:
1 Be 0.0000 0.0000 0.0000  4 Mo 2.50, 4 Be 2.50
2 Be 0.2500 0.2500 0.2500  4 Be 2.50, 4 Zn 2.50
3 Zn 0.0000 0.0000 0.5000  4 Mo 2.50, 4 Be 2.50
4 Mo 0.2500 0.2500 0.7500  4 Be 2.50, 4 Zn 2.50



(24)
A relaxed ZrBeMo crystal, computed with PBE.

Properties
E above lowest polymorph ... 1037.0 meV/atom
E ... -76.2 eV/cell
Crystal system ... cubic

Lattice parameters (Å, degrees): 6.1530 6.1530 6.1530 90.00 90.00 90.00
With the nearest neighbours (Å) after each atom.
Space group F-43m (No. 216)
Asymmetric unit:
1 Zr 0.0000 0.0000 0.0000  4 Mo 2.66, 4 Be 2.66
2 Be 0.2500 0.2500 0.7500  4 Zr 2.66
3 Mo 0.2500 0.2500 0.2500  4 Zr 2.66



(25)
A relaxed Zr2BeMo crystal, computed with PBE.

Properties
E ... -122.3 eV/cell
Crystal system ... cubic

Lattice parameters (Å, degrees): 6.5196 6.5196 6.5196 90.00 90.00 90.00
With the nearest neighbours (Å) after each atom.
Space group F-43m (No. 216)
Asymmetric unit:
1 Zr 0.0000 0.0000 0.0000  4 Zr 2.82, 4 Mo 2.82
2 Zr 0.2500 0.2500 0.2500  4 Zr 2.82, 4 Be 2.82
3 Be 0.0000 0.0000 0.5000  4 Zr 2.82, 4 Mo 2.82
4 Mo 0.2500 0.2500 0.7500  4 Zr 2.82, 4 Be 2.82



(26)
A relaxed ZrBeMo2 crystal, computed with PBE.

Properties
E ... -134.3 eV/cell
Crystal system ... cubic

Lattice parameters (Å, degrees): 6.3319 6.3319 6.3319 90.00 90.00 90.00
With the nearest neighbours (Å) after each atom.
Space group F-43m (No. 216)
Asymmetric unit:
1 Zr 0.0000 0.0000 0.0000  4 Be 2.74, 4 Mo 2.74
2 Be 0.2500 0.2500 0.7500  4 Zr 2.74, 4 Mo 2.74
3 Mo 0.0000 0.0000 0.5000  4 Mo 2.74, 4 Be 2.74
4 Mo 0.2500 0.2500 0.2500  4 Zr 2.74, 4 Mo 2.74



(27)
A relaxed ZrBeMo crystal, computed with PBE.

Properties
E above lowest polymorph ... 0.0 meV/atom
E ... -88.7 eV/cell
Crystal system ... cubic

Lattice parameters (Å, degrees): 5.8432 5.8432 5.8432 90.00 90.00 90.00
With the nearest neighbours (Å) after each atom.
Space group F-43m (No. 216)
Asymmetric unit:
1 Zr 0.0000 0.0000 0.0000  4 Be 2.53
2 Be 0.2500 0.2500 0.7500  4 Zr 2.53, 4 Mo 2.53
3 Mo 0.0000 0.0000 0.5000  4 Be 2.53



(28)
A relaxed ZrBe9Mo2 crystal, computed with PBE.

Properties
E ... -202.5 eV/cell
Crystal system ... trigonal

Lattice parameters (Å, degrees): 4.4947 4.4947 21.2410 90.00 90.00 120.00
With the nearest neighbours (Å) after each atom.
Space group R-3m (No. 166, hexagonal axes)
Asymmetric unit:
1 Zr 0.0000 0.0000 0.0000  18 Be 2.60-2.87
2 Be 0.0000 0.0000 0.3341  6 Be 2.21
3 Be 0.0000 0.0000 0.5000  6 Be 2.19
4 Be 0.0042 0.5021 0.9158  7 Be 2.19-2.28
5 Mo 0.0000 0.0000 0.1450  12 Be 2.56-2.64, 3 Mo 2.75



(29)
A relaxed ZrBe2Mo crystal, computed with PBE.

Properties
E ... -99.8 eV/cell
Crystal system ... cubic

Lattice parameters (Å, degrees): 6.1499 6.1499 6.1499 90.00 90.00 90.00
With the nearest neighbours (Å) after each atom.
Space group F-43m (No. 216)
Asymmetric unit:
1 Zr 0.0000 0.0000 0.0000  4 Mo 2.66, 4 Be 2.66
2 Be 0.0000 0.0000 0.5000  4 Mo 2.66, 4 Be 2.66
3 Be 0.2500 0.2500 0.7500  4 Zr 2.66, 4 Be 2.66
4 Mo 0.2500 0.2500 0.2500  4 Zr 2.66, 4 Be 2.66



(30)
A relaxed BeNbNO crystal, computed with PBE.

Properties
E above lowest polymorph ... 694.0 meV/atom
E ... -60.3 eV/cell
Crystal system ... tetragonal

Lattice parameters (Å, degrees): 3.1636 3.1636 7.3296 90.00 90.00 90.00
With the nearest neighbours (Å) after each atom.
Space group P4/nmm (No. 129, origin choice 2)
Asymmetric unit:
1 Be 0.2500 0.7500 0.0000  4 N 1.89
2 Nb 0.2500 0.2500 0.3115  4 O 2.10
3 N 0.2500 0.2500 0.8597  4 Be 1.89
4 O 0.2500 0.7500 0.5000  4 Nb 2.10, 4 O 2.24